First-principles (GGA+U) data for a relaxed structure of Rb3Tm3MoO8, as listed in the Alexandria database.

Computed properties:
- Calculated total energy: -6.784 eV/atom
- Magnetization: 2.00 μB per cell

Cell: 6.7389 6.7389 7.6542 Å, 116.07 116.07 60.32°
Element x y z (fractional)
Rb  0.0000  0.0000  0.0000
Rb  0.0000  0.5000  0.0000
Rb  0.5000  0.0000  0.0000
Tm  0.0000  0.5000  0.5000
Tm  0.5000  0.0000  0.5000
Tm  0.5000  0.5000  0.5000
Mo  0.0000  0.0000  0.5000
O  0.2093  0.2093  0.6631
O  0.2132  0.7383  0.6632
O  0.2617  0.7868  0.3368
O  0.2762  0.2762  0.3311
O  0.7238  0.7238  0.6689
O  0.7383  0.2132  0.6632
O  0.7868  0.2617  0.3368
O  0.7907  0.7907  0.3369